A plane-wave DFT calculation with PBE with a Hubbard U was carried out for a geometry-optimized Gd2CrSbO7 structure.

CIF file:
```
data_Gd2CrSbO7
_chemical_formula_sum 'Gd4 Cr2 Sb2 O14'
_symmetry_space_group_name_H-M 'P 1'
_symmetry_Int_Tables_number 1
_cell_length_a 7.339
_cell_length_b 7.339
_cell_length_c 7.339
_cell_angle_alpha 120.13
_cell_angle_beta 119.54
_cell_angle_gamma 90.29
loop_
_symmetry_equiv_pos_as_xyz
'x,y,z'
loop_
_atom_site_label
_atom_site_type_symbol
_atom_site_fract_x
_atom_site_fract_y
_atom_site_fract_z
Gd1 Gd 0.000 0.000 0.000
Gd2 Gd 0.500 0.000 0.000
Gd3 Gd 0.500 0.000 0.500
Gd4 Gd 0.500 0.500 0.500
Cr1 Cr 0.000 0.000 0.500
Cr2 Cr 0.000 0.500 0.000
Sb1 Sb 0.000 0.500 0.500
Sb2 Sb 0.500 0.500 0.000
O1 O 0.087 0.423 0.258
O2 O 0.087 0.829 0.664
O3 O 0.089 0.839 0.250
O4 O 0.329 0.579 0.750
O5 O 0.335 0.171 0.758
O6 O 0.335 0.577 0.164
O7 O 0.378 0.128 0.250
O8 O 0.622 0.872 0.750
O9 O 0.665 0.423 0.836
O10 O 0.665 0.829 0.242
O11 O 0.671 0.421 0.250
O12 O 0.911 0.161 0.750
O13 O 0.913 0.171 0.336
O14 O 0.913 0.577 0.742
```

Output
Space-group type = No. 74
Energy = -0.3432 hartree per atom
Total moment = 0.2727 μB/atom